Here is GaRhO3 after structural relaxation from the Alexandria database. Energies are from GGA-PBEsol.

Properties
* total moment: 4.06 μB per cell
* space group: Pm-3m, No. 221

a = 3.7876 Å, b = 3.7876 Å, c = 3.7876 Å
α = 90.00°, β = 90.00°, γ = 90.00°
Site moments in Bohr magnetons follow the coordinates.
Fractional coordinates of all 5 atoms:
O  0.5000  0.0000  0.0000  0.46
O  0.0000  0.0000  0.5000  0.46
O  0.0000  0.5000  0.0000  0.46
Ga  0.0000  0.0000  0.0000  -0.04
Rh  0.5000  0.5000  0.5000  2.44


Here is GaRuO3 after structural relaxation from the Alexandria database. Energies are from GGA-PBEsol.

Properties
* total moment: 4.94 μB per cell
* space group: Pm-3m, No. 221

a = 3.7863 Å, b = 3.7863 Å, c = 3.7863 Å
α = 90.00°, β = 90.00°, γ = 90.00°
Site moments in Bohr magnetons follow the coordinates.
Fractional coordinates of all 5 atoms:
O  0.0000  0.0000  0.5000  0.35
O  0.5000  0.0000  0.0000  0.35
Ru  0.5000  0.5000  0.5000  3.57
O  0.0000  0.5000  0.0000  0.35
Ga  0.0000  0.0000  0.0000  -0.02


Here is GaRuO2 after structural relaxation from the Alexandria database. Energies are from GGA-PBEsol.

Properties
* total moment: 1.02 μB per cell
* space group: R-3m, No. 166

a = 2.8453 Å, b = 2.8453 Å, c = 6.3827 Å
α = 77.12°, β = 77.12°, γ = 60.00°
Site moments in Bohr magnetons follow the coordinates.
Fractional coordinates of all 4 atoms:
Ru  0.0000  0.0000  0.0000  0.91
Ga  0.5000  0.5000  0.5000  0.01
O  0.8908  0.8908  0.3275  0.03
O  0.1092  0.1092  0.6725  0.03


| no. | final energy (eV per atom) |
| --- | --- |
| 1 | -5.711 |
| 2 | -6.123 |
| 3 | -7.068 |